No. 1
## NaZnAg (PBE)

Data for a geometry-optimized NaZnAg structure.

The calculated total energy comes out at -1.80 eV per atom. The calculation puts the spin magnetization at 0.00 μB/f.u. For the density of states at the Fermi level, the calculation gives 1.5 states/eV/cell. The calculation puts the formation enthalpy at 0 K at 0.43 kcal/mol of atoms. As for the energy above the lowest structure with this stoichiometry: 0.1008 eV/atom.

Geometry as CIF:
```
data_NaZnAg
_chemical_formula_sum 'Na1 Zn1 Ag1'
_cell_length_a 4.6666
_cell_length_b 4.6666
_cell_length_c 3.2757
_cell_angle_alpha 90.00
_cell_angle_beta 90.00
_cell_angle_gamma 120.00
_space_group_name_H-M_alt 'P -6 m 2'
_space_group_IT_number 187
_space_group_name_Hall 'P -6 2'
loop_
_atom_site_label
_atom_site_type_symbol
_atom_site_fract_x
_atom_site_fract_y
_atom_site_fract_z
Na1 Na 0.0000 0.0000 0.0000
Zn1 Zn 0.3333 0.6667 0.5000
Ag1 Ag 0.6667 0.3333 0.5000
```


No. 2
## DyY2TaN4 (PBE)

Data for a geometry-optimized DyY2TaN4 structure.

The calculated total energy comes out at -9.36 eV per atom. The calculation puts the spin magnetization at 0.00 μB/f.u. The formation energy from raw total energies is -1.53 eV per atom. For the density of states at the Fermi level, the calculation gives 1.9 states/eV/cell.

Geometry as CIF:
```
data_DyY2TaN4
_chemical_formula_sum 'Dy1 Y2 Ta1 N4'
_cell_length_a 5.826
_cell_length_b 3.350
_cell_length_c 5.826
_cell_angle_alpha 90.00
_cell_angle_beta 109.07
_cell_angle_gamma 90.00
_space_group_name_H-M_alt 'P 1 2/m 1'
_space_group_IT_number 10
loop_
_space_group_symop_operation_xyz
'x,y,z'
'-x,-y,-z'
'-x,y,-z'
'x,-y,z'
loop_
_atom_site_label
_atom_site_type_symbol
_atom_site_fract_x
_atom_site_fract_y
_atom_site_fract_z
Dy1 Dy 0.000 0.000 0.000
Y1 Y 0.500 0.000 0.500
Y2 Y 0.500 0.500 0.000
Ta1 Ta 0.000 0.500 0.500
N1 N 0.226 0.000 0.727
N2 N 0.233 0.500 0.266
```


No. 3
## Y2HfNbBi (PBE)

Data for a geometry-optimized Y2HfNbBi structure.

The calculated total energy comes out at -6.59 eV per atom. The calculation puts the spin magnetization at 1.35 μB/f.u. For the density of states at the Fermi level, the calculation gives 5.9 states/eV/cell. The calculation puts the formation enthalpy at 0 K at 17.82 kcal/mol of atoms.

Geometry as CIF:
```
data_Y2HfNbBi
_chemical_formula_sum 'Y2 Hf1 Nb1 Bi1'
_cell_length_a 5.637
_cell_length_b 5.637
_cell_length_c 4.909
_cell_angle_alpha 90.00
_cell_angle_beta 90.00
_cell_angle_gamma 90.00
_space_group_name_H-M_alt 'P 4/m m m'
_space_group_IT_number 123
_space_group_name_Hall '-P 4 2'
loop_
_atom_site_label
_atom_site_type_symbol
_atom_site_fract_x
_atom_site_fract_y
_atom_site_fract_z
Y1 Y 0.000 0.500 0.000
Hf1 Hf 0.000 0.000 0.000
Nb1 Nb 0.000 0.000 0.500
Bi1 Bi 0.500 0.500 0.500
```


No. 4
## Rb2PrBiS4 (PBE)

Data for a geometry-optimized Rb2PrBiS4 structure.

The calculated total energy comes out at -4.69 eV per atom. The calculation puts the spin magnetization at 0.00 μB/f.u. The formation energy from raw total energies is -1.30 eV per atom. For the density of states at the Fermi level, the calculation gives 0.0 states/eV/cell.

Geometry as CIF:
```
data_Rb2PrBiS4
_chemical_formula_sum 'Rb2 Pr1 Bi1 S4'
_cell_length_a 7.322
_cell_length_b 4.232
_cell_length_c 8.089
_cell_angle_alpha 90.00
_cell_angle_beta 107.54
_cell_angle_gamma 90.00
_space_group_name_H-M_alt 'P 1 2/m 1'
_space_group_IT_number 10
loop_
_space_group_symop_operation_xyz
'x,y,z'
'-x,-y,-z'
'-x,y,-z'
'x,-y,z'
loop_
_atom_site_label
_atom_site_type_symbol
_atom_site_fract_x
_atom_site_fract_y
_atom_site_fract_z
Rb1 Rb 0.000 0.000 0.000
Rb2 Rb 0.500 0.500 0.000
Pr1 Pr 0.000 0.500 0.500
Bi1 Bi 0.500 0.000 0.500
S1 S 0.234 0.000 0.699
S2 S 0.268 0.500 0.300
```